The following is a GGA-PBE calculation of an optimized crystal structure of Hf4TlSe8, from the Alexandria database.

Results
The value obtained for the uncorrected formation energy is -16.52 eV/f.u. For the spin magnetization, the calculation gives 0.0 μB per formula unit. The calculation puts the calculated density at 6.441 g/cm³.

abc: 9.2591 9.2591 9.2591
angles: 47.85 47.85 47.85
Closest atoms and distances in Å follow each position.
Element x y z (fractional)
Hf 0.0000 0.0000 0.0000  6 Se 2.68
Hf 0.0000 0.5000 0.5000  6 Se 2.69-2.70
Hf 0.5000 0.0000 0.5000  6 Se 2.69-2.70
Hf 0.5000 0.5000 0.0000  6 Se 2.69-2.70
Tl 0.5000 0.5000 0.5000  6 Se 3.31
Se 0.2309 0.2309 0.7337  3 Hf 2.68-2.70
Se 0.2309 0.7337 0.2309  3 Hf 2.68-2.70
Se 0.2663 0.7691 0.7691  3 Hf 2.68-2.70
Se 0.2687 0.2687 0.2687  3 Hf 2.69
Se 0.7313 0.7313 0.7313  3 Hf 2.69
Se 0.7337 0.2309 0.2309  3 Hf 2.68-2.70
Se 0.7691 0.2663 0.7691  3 Hf 2.68-2.70
Se 0.7691 0.7691 0.2663  3 Hf 2.68-2.70